(1)
VASP calculation (PBE) on crystalline YOs2Pd at its relaxed geometry.

Lattice parameters (Å, degrees): 6.5018 6.5018 6.5018 90.00 90.00 90.00
Last column: nearest neighbours and their distance in Å.
Space group F-43m (No. 216)
Unique sites:
Y: 0.0000 0.0000 0.0000 [4 per cell]  4 Os 2.82, 4 Pd 2.82
Os: 0.0000 0.0000 0.5000 [4 per cell]  4 Pd 2.82, 4 Os 2.82
Os: 0.2500 0.2500 0.7500 [4 per cell]  4 Os 2.82, 4 Y 2.82
Pd: 0.2500 0.2500 0.2500 [4 per cell]  4 Y 2.82, 4 Os 2.82

Values from the calculation:
Energy of formation in meV/atom: 242

(2)
VASP calculation (PBE) on crystalline Y2OsPd at its relaxed geometry.

Lattice parameters (Å, degrees): 6.8124 6.8124 6.8124 90.00 90.00 90.00
Last column: nearest neighbours and their distance in Å.
Space group F-43m (No. 216)
Unique sites:
Y: 0.0000 0.0000 0.0000 [4 per cell]  4 Os 2.95, 4 Y 2.95
Y: 0.2500 0.2500 0.2500 [4 per cell]  4 Y 2.95, 4 Pd 2.95
Os: 0.2500 0.2500 0.7500 [4 per cell]  4 Pd 2.95, 4 Y 2.95
Pd: 0.0000 0.0000 0.5000 [4 per cell]  4 Y 2.95, 4 Os 2.95

Values from the calculation:
Energy of formation in meV/atom: 11

(3)
VASP calculation (PBE) on crystalline ZnOsPd at its relaxed geometry.

Lattice parameters (Å, degrees): 5.9376 5.9376 5.9376 90.00 90.00 90.00
Last column: nearest neighbours and their distance in Å.
Space group F-43m (No. 216)
Unique sites:
Zn: 0.0000 0.0000 0.0000 [4 per cell]  4 Pd 2.57
Os: 0.0000 0.0000 0.5000 [4 per cell]  4 Pd 2.57
Pd: 0.2500 0.2500 0.7500 [4 per cell]  4 Os 2.57, 4 Zn 2.57

Values from the calculation:
Energy of formation in meV/atom: 718

(4)
VASP calculation (PBE) on crystalline ZrOs2Pd at its relaxed geometry.

Lattice parameters (Å, degrees): 6.3955 6.3955 6.3955 90.00 90.00 90.00
Last column: nearest neighbours and their distance in Å.
Space group F-43m (No. 216)
Unique sites:
Zr: 0.0000 0.0000 0.0000 [4 per cell]  4 Os 2.77, 4 Pd 2.77
Os: 0.0000 0.0000 0.5000 [4 per cell]  4 Os 2.77, 4 Pd 2.77
Os: 0.2500 0.2500 0.2500 [4 per cell]  4 Zr 2.77, 4 Os 2.77
Pd: 0.2500 0.2500 0.7500 [4 per cell]  4 Zr 2.77, 4 Os 2.77

Values from the calculation:
Energy of formation in meV/atom: 103

(5)
VASP calculation (PBE) on crystalline ZrOsPd at its relaxed geometry.

Lattice parameters (Å, degrees): 6.2093 6.2093 6.2093 90.00 90.00 90.00
Last column: nearest neighbours and their distance in Å.
Space group F-43m (No. 216)
Unique sites:
Zr: 0.0000 0.0000 0.0000 [4 per cell]  4 Os 2.69, 4 Pd 2.69
Os: 0.2500 0.2500 0.7500 [4 per cell]  4 Zr 2.69
Pd: 0.2500 0.2500 0.2500 [4 per cell]  4 Zr 2.69

Values from the calculation:
Energy of formation in meV/atom: 381

(6)
VASP calculation (PBE) on crystalline ZrOsPd at its relaxed geometry.

Lattice parameters (Å, degrees): 6.2308 6.2308 6.2308 90.00 90.00 90.00
Last column: nearest neighbours and their distance in Å.
Space group F-43m (No. 216)
Unique sites:
Zr: 0.0000 0.0000 0.0000 [4 per cell]  4 Os 2.70
Os: 0.2500 0.2500 0.7500 [4 per cell]  4 Zr 2.70, 4 Pd 2.70
Pd: 0.0000 0.0000 0.5000 [4 per cell]  4 Os 2.70

Values from the calculation:
Energy of formation in meV/atom: 310

(7)
VASP calculation (PBE) on crystalline PmOs2 at its relaxed geometry.

Lattice parameters (Å, degrees): 8.9179 8.9179 21.7807 90.00 90.00 120.00
Last column: nearest neighbours and their distance in Å.
Space group R-3m (No. 166, hexagonal axes)
Unique sites:
Pm: 0.0000 0.0000 0.1250 [6 per cell]  4 Os 2.72-2.73
Os: 0.0000 0.0000 0.0000 [3 per cell]  2 Pm 2.72
Os: 0.0000 0.5000 0.5000 [9 per cell]  2 Pm 2.73

Values from the calculation:
Energy of formation in meV/atom: 3827

(8)
VASP calculation (PBE) on crystalline Pm5Os2 at its relaxed geometry.

Lattice parameters (Å, degrees): 16.1852 6.5815 7.4143 90.00 97.10 90.00
Last column: nearest neighbours and their distance in Å.
Space group C2/c (No. 15)
Unique sites:
Pm: 0.0000 0.0736 0.2500 [4 per cell]  4 Os 2.96-3.00
Pm: 0.0917 0.3877 0.9148 [8 per cell]  2 Os 2.82-2.88
Pm: 0.2171 0.0755 0.3153 [8 per cell]  3 Os 2.89-3.14
Os: 0.1102 0.2139 0.5751 [8 per cell]  7 Pm 2.82-3.14

Values from the calculation:
Energy of formation in meV/atom: -150

(9)
VASP calculation (PBE) on crystalline PmPr2Os6 at its relaxed geometry.

Lattice parameters (Å, degrees): 3.8311 3.8311 14.4591 90.00 90.00 90.00
Last column: nearest neighbours and their distance in Å.
Space group P4/mmm (No. 123)
Unique sites:
Pm: 0.0000 0.0000 0.0000 [1 per cell]  12 Os 2.71-2.95
Pr: 0.5000 0.5000 0.3187 [2 per cell]  1 Os 2.62
Os: 0.0000 0.5000 0.1555 [4 per cell]  6 Os 2.71-2.95, 2 Pm 2.95
Os: 0.5000 0.5000 0.0000 [1 per cell]  4 Pm 2.71, 8 Os 2.95
Os: 0.5000 0.5000 0.5000 [1 per cell]  2 Pr 2.62

Values from the calculation:
Energy of formation in meV/atom: 1146

(10)
VASP calculation (PBE) on crystalline PmPuOs at its relaxed geometry.

Lattice parameters (Å, degrees): 6.7931 6.7931 6.7931 90.00 90.00 90.00
Last column: nearest neighbours and their distance in Å.
Space group F-43m (No. 216)
Unique sites:
Pm: 0.0000 0.0000 0.0000 [4 per cell]  4 Os 2.94
Pu: 0.0000 0.0000 0.5000 [4 per cell]  4 Os 2.94
Os: 0.2500 0.2500 0.2500 [4 per cell]  4 Pm 2.94, 4 Pu 2.94

Values from the calculation:
Energy of formation in meV/atom: 11

(11)
VASP calculation (PBE) on crystalline PmPuOs4 at its relaxed geometry.

Lattice parameters (Å, degrees): 7.5734 7.5734 7.5734 90.00 90.00 90.00
Last column: nearest neighbours and their distance in Å.
Space group F-43m (No. 216)
Unique sites:
Pm: 0.0000 0.0000 0.0000 [4 per cell]  12 Os 3.14, 4 Pu 3.28
Pu: 0.2500 0.2500 0.2500 [4 per cell]  12 Os 3.14, 4 Pm 3.28
Os: 0.1248 0.1248 0.6248 [16 per cell]  6 Os 2.67-2.68

Values from the calculation:
Energy of formation in meV/atom: 127

(12)
VASP calculation (PBE) on crystalline RbPmOs at its relaxed geometry.

Lattice parameters (Å, degrees): 7.0804 7.0804 7.0804 90.00 90.00 90.00
Last column: nearest neighbours and their distance in Å.
Space group F-43m (No. 216)
Unique sites:
Rb: 0.0000 0.0000 0.0000 [4 per cell]  4 Os 3.07
Pm: 0.0000 0.0000 0.5000 [4 per cell]  4 Os 3.07
Os: 0.2500 0.2500 0.7500 [4 per cell]  4 Rb 3.07, 4 Pm 3.07

Values from the calculation:
E_tot in eV/atom: -4.548

- Which formula does entry 7 have?
  PmOs2